No. 1
Density functional theory data (GGA-PBEsol) for crystalline RePWS2 at its relaxed geometry.

```
5
Lattice="4.509 0.000 0.000 0.000 4.509 0.000 0.000 0.000 4.904" Properties=species:S:1:pos:R:3 pbc="T T T"
Re 0.000 0.000 0.000
P 2.254 2.254 0.000
W 2.254 2.254 2.452
S 0.000 2.254 2.452
S 2.254 0.000 2.452
```

Values from the calculation:
- Raw total energy: -7.06 eV/atom
- D(E_F): 2.978 states/eV per cell

=====

No. 2
Density functional theory data (GGA-PBEsol) for crystalline ZrHg2BiF at its relaxed geometry.

```
5
Lattice="5.154 0.000 0.000 0.000 5.154 0.000 0.000 0.000 4.183" Properties=species:S:1:pos:R:3 pbc="T T T"
Zr 0.000 0.000 0.000
Hg 0.000 2.577 2.091
Hg 2.577 0.000 2.091
Bi 2.577 2.577 0.000
F 0.000 0.000 2.091
```

Values from the calculation:
- Raw total energy: -3.78 eV/atom
- D(E_F): 3.512 states/eV per cell

=====

No. 3
Density functional theory data (GGA-PBEsol) for crystalline Na2CdMo2 at its relaxed geometry.

```
10
Lattice="3.477 0.000 0.000 0.000 3.477 0.000 0.000 0.000 19.456" Properties=species:S:1:pos:R:3 pbc="T T T"
Na 0.000 0.000 2.104
Na 0.000 0.000 17.352
Na 1.738 1.738 7.624
Na 1.738 1.738 11.832
Cd 0.000 0.000 9.728
Cd 1.738 1.738 0.000
Mo 0.000 1.738 4.864
Mo 0.000 1.738 14.592
Mo 1.738 0.000 4.864
Mo 1.738 0.000 14.592
```

Values from the calculation:
- Calculated formation energy: 0.739 eV/atom
- Raw total energy: -4.77 eV/atom
- D(E_F): 7.200 states/eV per cell

=====

No. 4
Density functional theory data (GGA-PBEsol) for crystalline CdReBr2 at its relaxed geometry.

```
8
Lattice="4.726 0.000 0.000 0.000 4.726 0.000 0.000 0.000 6.701" Properties=species:S:1:pos:R:3 pbc="T T T"
Cd 0.000 0.000 0.000
Cd 2.363 2.363 3.351
Re 0.000 0.000 3.351
Re 2.363 2.363 0.000
Br 0.000 2.363 1.675
Br 0.000 2.363 5.026
Br 2.363 0.000 1.675
Br 2.363 0.000 5.026
```

Values from the calculation:
- Raw total energy: -3.48 eV/atom
- D(E_F): 6.967 states/eV per cell